Entry from Alexandria: CsK2Hg2 after structural relaxation (PBE-GGA).

```
CsK2Hg2
1.0
9.646 0.000 0.000
0.000 9.646 0.000
0.000 0.000 5.181
Hg K Cs
4 4 2
direct
0.388 0.888 0.000
0.888 0.612 0.000
0.112 0.388 0.000
0.612 0.112 0.000
0.162 0.662 0.500
0.662 0.838 0.500
0.838 0.338 0.500
0.338 0.162 0.500
0.000 0.000 0.000
0.500 0.500 0.000
```

Computed properties:
The energy of formation from the pure elements is -0.922 eV/f.u. The total energy comes out at -9.15 eV for the cell shown.